(1)
The following is a PBE calculation of ZrPd3 after structural relaxation, from the Alexandria database. Values from VASP.

The structure in Quantum ESPRESSO input format:
```
&SYSTEM
  ibrav = 0, nat = 8, ntyp = 2
/
ATOMIC_SPECIES
Zr 91.22 Zr.upf
Pd 106.42 Pd.upf
CELL_PARAMETERS angstrom
5.696 0.000 0.000
-2.848 4.933 0.000
0.000 0.000 4.689
ATOMIC_POSITIONS angstrom
Zr 0.000 3.289 1.172
Zr 2.848 1.644 3.517
Pd 0.000 1.623 3.517
Pd -1.442 4.121 3.517
Pd 1.406 0.812 1.172
Pd 1.442 4.121 3.517
Pd 4.290 0.812 1.172
Pd 2.848 3.310 1.172
```

## Properties
space group: P6_3/mmc (194)
DFT formation energy: -0.791 eV/atom


(2)
The following is a PBE calculation of Ac2PrHo after structural relaxation, from the Alexandria database. Values from VASP.

The structure in Quantum ESPRESSO input format:
```
&SYSTEM
  ibrav = 0, nat = 16, ntyp = 3
/
ATOMIC_SPECIES
Ac 227.00 Ac.upf
Pr 140.91 Pr.upf
Ho 164.93 Ho.upf
CELL_PARAMETERS angstrom
8.555 0.000 0.000
0.000 8.555 0.000
0.000 0.000 8.555
ATOMIC_POSITIONS angstrom
Ac 2.139 2.139 2.139
Ac 2.139 2.139 6.416
Ac 2.139 6.416 2.139
Ac 2.139 6.416 6.416
Ac 6.416 2.139 2.139
Ac 6.416 2.139 6.416
Ac 6.416 6.416 2.139
Ac 6.416 6.416 6.416
Pr 0.000 0.000 0.000
Pr 0.000 4.278 4.278
Pr 4.278 0.000 4.278
Pr 4.278 4.278 0.000
Ho 0.000 0.000 4.278
Ho 0.000 4.278 0.000
Ho 4.278 0.000 0.000
Ho 4.278 4.278 4.278
```

## Properties
space group: Fm-3m (225)
E above lowest polymorph: 76.8 meV/atom
DFT formation energy: 0.112 eV/atom


(3)
The following is a PBE calculation of Tb3UIn3Se8 after structural relaxation, from the Alexandria database. Values from VASP.

The structure in Quantum ESPRESSO input format:
```
&SYSTEM
  ibrav = 0, nat = 15, ntyp = 4
/
ATOMIC_SPECIES
Tb 158.93 Tb.upf
U 238.03 U.upf
In 114.82 In.upf
Se 78.96 Se.upf
CELL_PARAMETERS angstrom
4.149 2.395 7.773
-4.149 2.395 7.773
0.000 -4.791 7.773
ATOMIC_POSITIONS angstrom
Tb -2.075 -1.198 7.773
Tb -2.075 1.198 15.545
Tb 0.000 2.395 7.773
U 0.000 0.000 0.000
In -4.149 0.000 11.659
In -2.075 1.198 3.886
In 2.075 1.198 3.886
Se 0.000 -2.437 9.372
Se -2.110 1.218 9.372
Se -2.110 -1.218 13.946
Se 0.000 0.000 6.153
Se 0.000 0.000 17.165
Se 2.110 1.218 9.372
Se 2.110 -1.218 13.946
Se 0.000 2.437 13.946
```

## Properties
space group: R-3m (166)
final energy: -80.28 eV per cell


The calculation returns the following V values, one per record and in order: 65.9, 156.5, 463.5 Å³/f.u..